No. 1
# PbCSeBr2, relaxed, DFT PBE-GGA
# Relative energy among the computed polymorphs, meV per atom: 0
# Calculated volume, Å³/cell: 134.1
# E_form (uncorrected), kJ per mole of atoms: 70.0
# Crystal system: tetragonal
data_PbCSeBr2
_symmetry_space_group_name_H-M 'P 4/m m m'
_symmetry_Int_Tables_number 123
_symmetry_space_group_name_Hall '-P 4 2'
_cell_length_a 5.761
_cell_length_b 5.761
_cell_length_c 4.041
_cell_angle_alpha 90.00
_cell_angle_beta 90.00
_cell_angle_gamma 90.00
loop_
_atom_site_label
_atom_site_fract_x
_atom_site_fract_y
_atom_site_fract_z
Pb1 0.000 0.000 0.000
C1 0.500 0.500 0.500
Se1 0.500 0.500 0.000
Br1 0.000 0.500 0.500



No. 2
# ZrPbCBr2, relaxed, DFT PBE-GGA
# Calculated volume, Å³/cell: 164.4
# E_form (uncorrected), kJ per mole of atoms: 94.5
# Crystal system: tetragonal
data_ZrPbCBr2
_symmetry_space_group_name_H-M 'P 4/m m m'
_symmetry_Int_Tables_number 123
_symmetry_space_group_name_Hall '-P 4 2'
_cell_length_a 5.171
_cell_length_b 5.171
_cell_length_c 6.147
_cell_angle_alpha 90.00
_cell_angle_beta 90.00
_cell_angle_gamma 90.00
loop_
_atom_site_label
_atom_site_fract_x
_atom_site_fract_y
_atom_site_fract_z
Zr1 0.000 0.000 0.000
Pb1 0.000 0.000 0.500
C1 0.500 0.500 0.500
Br1 0.000 0.500 0.000